(1)
## Sc2BeAs (meta-GGA SCAN)

Data for a PBEsol-optimized structure of Sc2BeAs.

Properties
Total energy (eV/atom): -14.08
Total moment (μB per atom): 0.002
Fermi-level density of states (states/eV per cell): 2.410
Energy of formation from the pure elements (meV per atom): -822

a = 3.605 Å, b = 3.851 Å, c = 5.255 Å
α = 111.50°, β = 90.00°, γ = 90.00°
Sites, in units of the cell vectors:
Sc (0.000, 0.108, 0.217)
Sc (0.500, 0.397, 0.794)
As (0.000, 0.822, 0.643)
Be (0.500, 0.676, 0.353)



(2)
## Sc2BeAs (meta-GGA SCAN)

Data for a PBEsol-optimized structure of Sc2BeAs.

Properties
Total energy (eV/atom): -13.83
Total moment (μB per atom): 0.196
Fermi-level density of states (states/eV per cell): 1.072
Energy of formation from the pure elements (meV per atom): -576

a = 3.417 Å, b = 3.417 Å, c = 5.741 Å
α = 90.00°, β = 90.00°, γ = 90.00°
Last column: magnetic moment on the atom in μB.
Sites, in units of the cell vectors:
Sc (0.000, 0.000, 0.750)  0.32
Sc (0.000, 0.000, 0.250)  0.32
Be (0.500, 0.500, 0.500)  -0.01
As (0.500, 0.500, 0.000)  -0.02



(3)
## BeAsSe (meta-GGA SCAN)

Data for a PBEsol-optimized structure of BeAsSe.

Properties
Total energy (eV/atom): -14.63
Total moment (μB per atom): 0.000
Formation energy from raw total energies (eV per atom): 0.242
Fermi-level density of states (states/eV per cell): 0.793

a = 3.197 Å, b = 3.197 Å, c = 5.531 Å
α = 106.80°, β = 106.80°, γ = 90.00°
Sites, in units of the cell vectors:
Se (0.282, 0.282, 0.564)
As (0.041, 0.041, 0.082)
Be (0.677, 0.677, 0.354)



(4)
## BeAsSe (meta-GGA SCAN)

Data for a PBEsol-optimized structure of BeAsSe.

Properties
Total energy (eV/atom): -14.68
Total moment (μB per atom): 0.000
Formation energy from raw total energies (eV per atom): 0.199
Fermi-level density of states (states/eV per cell): 0.932

a = 3.320 Å, b = 3.320 Å, c = 5.630 Å
α = 100.66°, β = 100.66°, γ = 111.87°
Sites, in units of the cell vectors:
Be (0.329, 0.329, 0.658)
As (0.958, 0.958, 0.915)
Se (0.713, 0.713, 0.427)



(5)
## BeAsSe3 (meta-GGA SCAN)

Data for a PBEsol-optimized structure of BeAsSe3.

Properties
Total energy (eV/atom): -16.06
Total moment (μB per atom): 0.011
Formation energy from raw total energies (eV per atom): 0.895
Fermi-level density of states (states/eV per cell): 3.228

a = 4.921 Å, b = 4.921 Å, c = 4.921 Å
α = 90.00°, β = 90.00°, γ = 90.00°
Last column: magnetic moment on the atom in μB.
Sites, in units of the cell vectors:
Se (0.000, 0.500, 0.000)  -0.05
Se (0.000, 0.000, 0.500)  -0.05
Se (0.500, 0.000, 0.000)  -0.05
Be (0.500, 0.500, 0.500)  0.09
As (0.000, 0.000, 0.000)  0.02



(6)
## BeSiAsSe2 (meta-GGA SCAN)

Data for a PBEsol-optimized structure of BeSiAsSe2.

Properties
Total energy (eV/atom): -14.34
Total moment (μB per atom): 0.000
Formation energy from raw total energies (eV per atom): 0.605
Fermi-level density of states (states/eV per cell): 2.113

a = 4.236 Å, b = 4.651 Å, c = 4.651 Å
α = 90.00°, β = 90.00°, γ = 90.00°
Sites, in units of the cell vectors:
Si (0.500, 0.500, 0.500)
Be (0.000, 0.000, 0.000)
Se (0.000, 0.500, 0.000)
Se (0.000, 0.000, 0.500)
As (0.500, 0.000, 0.000)



(7)
## SrBeAsSe2 (meta-GGA SCAN)

Data for a PBEsol-optimized structure of SrBeAsSe2.

Properties
Total energy (eV/atom): -16.40
Total moment (μB per atom): 0.055
Formation energy from raw total energies (eV per atom): 0.991
Fermi-level density of states (states/eV per cell): 4.342

a = 5.559 Å, b = 5.559 Å, c = 5.573 Å
α = 90.00°, β = 90.00°, γ = 90.00°
Last column: magnetic moment on the atom in μB.
Sites, in units of the cell vectors:
As (0.000, 0.000, 0.500)  -0.62
Be (0.500, 0.500, 0.500)  0.24
Se (0.500, 0.000, 0.000)  0.33
Se (0.000, 0.500, 0.000)  0.33
Sr (0.000, 0.000, 0.000)  -0.02



(8)
## BeTeAs2Se (meta-GGA SCAN)

Data for a PBEsol-optimized structure of BeTeAs2Se.

Properties
Total energy (eV/atom): -19.96
Total moment (μB per atom): 0.000
Formation energy from raw total energies (eV per atom): 0.450
Fermi-level density of states (states/eV per cell): 3.469

a = 4.458 Å, b = 4.625 Å, c = 4.625 Å
α = 90.00°, β = 90.00°, γ = 90.00°
Sites, in units of the cell vectors:
Te (0.500, 0.500, 0.500)
As (0.000, 0.000, 0.500)
As (0.000, 0.500, 0.000)
Se (0.500, 0.000, 0.000)
Be (0.000, 0.000, 0.000)



(9)
## BeTlAs2Se (meta-GGA SCAN)

Data for a PBEsol-optimized structure of BeTlAs2Se.

Properties
Total energy (eV/atom): -25.90
Total moment (μB per atom): 0.268
Formation energy from raw total energies (eV per atom): 1.535
Fermi-level density of states (states/eV per cell): 5.150

a = 5.234 Å, b = 5.234 Å, c = 5.250 Å
α = 90.00°, β = 90.00°, γ = 90.00°
Last column: magnetic moment on the atom in μB.
Sites, in units of the cell vectors:
Se (0.000, 0.000, 0.500)  0.18
As (0.000, 0.500, 0.000)  0.29
As (0.500, 0.000, 0.000)  0.29
Tl (0.000, 0.000, 0.000)  0.00
Be (0.500, 0.500, 0.500)  -0.04



(10)
## BeZnAsSe2 (meta-GGA SCAN)

Data for a PBEsol-optimized structure of BeZnAsSe2.

Properties
Total energy (eV/atom): -14.64
Total moment (μB per atom): 0.000
Formation energy from raw total energies (eV per atom): 1.004
Fermi-level density of states (states/eV per cell): 3.899

a = 4.628 Å, b = 4.856 Å, c = 4.856 Å
α = 90.00°, β = 90.00°, γ = 90.00°
Sites, in units of the cell vectors:
Be (0.500, 0.500, 0.500)
Se (0.000, 0.000, 0.500)
Se (0.000, 0.500, 0.000)
As (0.500, 0.000, 0.000)
Zn (0.000, 0.000, 0.000)



(11)
## ZrBe2AsSe (meta-GGA SCAN)

Data for a PBEsol-optimized structure of ZrBe2AsSe.

Properties
Total energy (eV/atom): -14.74
Total moment (μB per atom): 0.000
Formation energy from raw total energies (eV per atom): 1.198
Fermi-level density of states (states/eV per cell): 3.137

a = 4.763 Å, b = 4.763 Å, c = 4.917 Å
α = 90.00°, β = 90.00°, γ = 90.00°
Sites, in units of the cell vectors:
Be (0.000, 0.500, 0.000)
Be (0.500, 0.000, 0.000)
As (0.500, 0.500, 0.500)
Zr (0.000, 0.000, 0.000)
Se (0.000, 0.000, 0.500)



(12)
## BeSiAs2 (meta-GGA SCAN)

Data for a PBEsol-optimized structure of BeSiAs2.

Properties
Total energy (eV/atom): -13.11
Total moment (μB per atom): 0.000
Formation energy from raw total energies (eV per atom): 0.580
Fermi-level density of states (states/eV per cell): 1.482

a = 4.317 Å, b = 4.317 Å, c = 4.317 Å
α = 101.35°, β = 113.68°, γ = 113.68°
Sites, in units of the cell vectors:
As (0.500, 0.750, 0.250)
As (0.500, 0.250, 0.750)
Be (0.000, 0.000, 0.000)
Si (0.000, 0.500, 0.500)



(13)
## BeSiAs2 (meta-GGA SCAN)

Data for a PBEsol-optimized structure of BeSiAs2.

Properties
Total energy (eV/atom): -13.98
Total moment (μB per atom): 0.000
Formation energy from raw total energies (eV per atom): -0.292

a = 5.322 Å, b = 5.322 Å, c = 6.513 Å
α = 114.11°, β = 114.11°, γ = 90.00°
Sites, in units of the cell vectors:
As (0.395, 0.875, 0.250)
As (0.125, 0.145, 0.750)
As (0.855, 0.375, 0.250)
As (0.625, 0.605, 0.750)
Si (0.250, 0.750, 0.500)
Si (0.000, 0.000, 0.000)
Be (0.750, 0.250, 0.500)
Be (0.500, 0.500, 0.000)



(14)
## BeSiAs2 (meta-GGA SCAN)

Data for a PBEsol-optimized structure of BeSiAs2.

Properties
Total energy (eV/atom): -13.15
Total moment (μB per atom): 0.000
Formation energy from raw total energies (eV per atom): 0.542
Fermi-level density of states (states/eV per cell): 1.505

a = 3.509 Å, b = 4.680 Å, c = 4.680 Å
α = 68.21°, β = 67.98°, γ = 67.98°
Sites, in units of the cell vectors:
As (0.779, 0.221, 0.221)
As (0.221, 0.779, 0.779)
Si (0.000, 0.500, 0.500)
Be (0.500, 0.000, 0.000)



(15)
## BeSiAs2 (meta-GGA SCAN)

Data for a PBEsol-optimized structure of BeSiAs2.

Properties
Total energy (eV/atom): -13.06
Total moment (μB per atom): 0.000
Formation energy from raw total energies (eV per atom): 0.623
Fermi-level density of states (states/eV per cell): 1.953

a = 4.410 Å, b = 4.410 Å, c = 4.410 Å
α = 60.00°, β = 60.00°, γ = 60.00°
Sites, in units of the cell vectors:
As (0.750, 0.750, 0.750)
As (0.250, 0.250, 0.250)
Be (0.000, 0.000, 0.000)
Si (0.500, 0.500, 0.500)



(16)
## BeSi2As (meta-GGA SCAN)

Data for a PBEsol-optimized structure of BeSi2As.

Properties
Total energy (eV/atom): -10.86
Total moment (μB per atom): 0.000
Formation energy from raw total energies (eV per atom): 0.284
Fermi-level density of states (states/eV per cell): 3.892

a = 5.324 Å, b = 5.324 Å, c = 6.461 Å
α = 114.33°, β = 114.33°, γ = 90.00°
Sites, in units of the cell vectors:
As (0.250, 0.750, 0.500)
As (0.000, 0.000, 0.000)
Si (0.625, 0.590, 0.750)
Si (0.840, 0.375, 0.250)
Si (0.410, 0.875, 0.250)
Si (0.125, 0.160, 0.750)
Be (0.750, 0.250, 0.500)
Be (0.500, 0.500, 0.000)



(17)
## BeSiAs2 (meta-GGA SCAN)

Data for a PBEsol-optimized structure of BeSiAs2.

Properties
Total energy (eV/atom): -13.07
Total moment (μB per atom): 0.000
Formation energy from raw total energies (eV per atom): 0.619
Fermi-level density of states (states/eV per cell): 1.712

a = 3.228 Å, b = 4.336 Å, c = 4.336 Å
α = 90.00°, β = 90.00°, γ = 90.00°
Sites, in units of the cell vectors:
As (0.000, 0.000, 0.500)
As (0.000, 0.500, 0.000)
Be (0.500, 0.500, 0.500)
Si (0.500, 0.000, 0.000)



(18)
## BeSiAs2 (meta-GGA SCAN)

Data for a PBEsol-optimized structure of BeSiAs2.

Properties
Total energy (eV/atom): -13.46
Total moment (μB per atom): 0.000
Formation energy from raw total energies (eV per atom): 0.229
Fermi-level density of states (states/eV per cell): 1.504

a = 3.567 Å, b = 3.567 Å, c = 6.035 Å
α = 72.81°, β = 72.81°, γ = 60.00°
Sites, in units of the cell vectors:
Si (0.500, 0.500, 0.500)
As (0.744, 0.744, 0.767)
As (0.256, 0.256, 0.233)
Be (0.000, 0.000, 0.000)



(19)
## Be2SnAs (meta-GGA SCAN)

Data for a PBEsol-optimized structure of Be2SnAs.

Properties
Total energy (eV/atom): -15.55
Total moment (μB per atom): 0.000
Fermi-level density of states (states/eV per cell): 1.819
Energy of formation from the pure elements (meV per atom): 651

a = 4.453 Å, b = 4.453 Å, c = 4.453 Å
α = 60.00°, β = 60.00°, γ = 60.00°
Sites, in units of the cell vectors:
Sn (0.500, 0.500, 0.500)
As (0.000, 0.000, 0.000)
Be (0.750, 0.750, 0.750)
Be (0.250, 0.250, 0.250)



(20)
## Sr2BeAs (meta-GGA SCAN)

Data for a PBEsol-optimized structure of Sr2BeAs.

Properties
Total energy (eV/atom): -17.54
Total moment (μB per atom): 0.000
Fermi-level density of states (states/eV per cell): 3.132
Energy of formation from the pure elements (meV per atom): -262

a = 5.278 Å, b = 5.278 Å, c = 5.278 Å
α = 60.00°, β = 60.00°, γ = 60.00°
Sites, in units of the cell vectors:
Sr (0.750, 0.750, 0.750)
Sr (0.250, 0.250, 0.250)
Be (0.500, 0.500, 0.500)
As (0.000, 0.000, 0.000)